Entry from the Alexandria database: crystalline V2AgO7 at its relaxed geometry (GGA+U).

Raw total energy ... -6.14 eV/atom

Cell lengths 5.7918, 5.7918, 3.6452 Å; angles 90.00, 90.00, 115.95 degrees
With the nearest neighbours (Å) after each atom.
Sites, in units of the cell vectors:
V1 0.1979 0.8021 0.0000  7 O 1.82-2.00
V2 0.8021 0.1979 0.0000  7 O 1.82-2.00
Ag1 0.5000 0.5000 0.5000  8 O 2.55
O1 0.0000 0.0000 0.0000  2 V 1.94
O2 0.1725 0.4480 0.0000  2 V 1.99-2.00
O3 0.2024 0.7976 0.5000  2 V 1.82
O4 0.4480 0.1725 0.0000  2 V 1.99-2.00
O5 0.5520 0.8275 0.0000  2 V 1.99-2.00
O6 0.7976 0.2024 0.5000  2 V 1.82
O7 0.8275 0.5520 0.0000  2 V 1.99-2.00